## SmTmPd (PBE-GGA)

Data for a geometry-optimized SmTmPd structure.

abc: 6.9965 6.6778 7.2001
angles: 104.93 90.00 90.00
Fractional positions:
Sm  0.3369  0.1947  0.9380
Sm  0.6631  0.8053  0.0620
Sm  0.8369  0.3053  0.5620
Sm  0.1631  0.6947  0.4380
Tm  0.8425  0.3195  0.0701
Tm  0.6575  0.8195  0.5701
Tm  0.1575  0.6805  0.9299
Tm  0.3425  0.1805  0.4299
Pd  0.4723  0.5169  0.7182
Pd  0.5277  0.4831  0.2818
Pd  0.0277  0.0169  0.2182
Pd  0.9723  0.9831  0.7818

Summary:
**Theoretical density**: 8.699 Mg/m³
**E**: -63.3 eV per cell
**Energy above the most stable polymorph in this dataset**: 106 meV per atom
**DOS at the Fermi energy**: 1.136 states/eV per atom



## ZrVGe (PBE-GGA)

Data for a geometry-optimized ZrVGe structure.

abc: 2.8957 2.8957 6.5142
angles: 102.84 102.84 90.00
Fractional positions:
Ge  0.9393  0.9393  0.8786
Zr  0.6153  0.6153  0.2305
V  0.2954  0.2954  0.5908

Summary:
**Theoretical density**: 6.879 Mg/m³
**E**: -22.4 eV per cell
**DOS at the Fermi energy**: 1.316 states/eV per atom



## BiAsS3 (PBE-GGA)

Data for a geometry-optimized BiAsS3 structure.

abc: 3.8249 9.9451 13.1785
angles: 90.00 90.00 90.00
Fractional positions:
Bi  0.2500  0.0108  0.3629
Bi  0.7500  0.9892  0.6371
Bi  0.7500  0.4892  0.8629
Bi  0.2500  0.5108  0.1371
As  0.2500  0.6632  0.5663
As  0.7500  0.3368  0.4337
As  0.7500  0.8368  0.0663
As  0.2500  0.1632  0.9337
S  0.7500  0.1938  0.2935
S  0.2500  0.6563  0.9683
S  0.2500  0.9698  0.1251
S  0.2500  0.4698  0.3749
S  0.2500  0.1563  0.5317
S  0.7500  0.5302  0.6251
S  0.2500  0.3062  0.7935
S  0.7500  0.0302  0.8749
S  0.7500  0.3437  0.0317
S  0.7500  0.6938  0.2065
S  0.7500  0.8437  0.4683
S  0.2500  0.8062  0.7065

Summary:
**Theoretical density**: 5.036 Mg/m³
**E**: -87.8 eV per cell
**Energy above the most stable polymorph in this dataset**: 0 meV per atom
**Raw formation energy**: -0.209 eV per atom



What did the first record say?
## SmTmPd (PBE-GGA)

Data for a geometry-optimized SmTmPd structure.

abc: 6.9965 6.6778 7.2001
angles: 104.93 90.00 90.00
Fractional positions:
Sm  0.3369  0.1947  0.9380
Sm  0.6631  0.8053  0.0620
Sm  0.8369  0.3053  0.5620
Sm  0.1631  0.6947  0.4380
Tm  0.8425  0.3195  0.0701
Tm  0.6575  0.8195  0.5701
Tm  0.1575  0.6805  0.9299
Tm  0.3425  0.1805  0.4299
Pd  0.4723  0.5169  0.7182
Pd  0.5277  0.4831  0.2818
Pd  0.0277  0.0169  0.2182
Pd  0.9723  0.9831  0.7818

Summary:
**Theoretical density**: 8.699 Mg/m³
**E**: -63.3 eV per cell
**Energy above the most stable polymorph in this dataset**: 106 meV per atom
**DOS at the Fermi energy**: 1.136 states/eV per atom



Q: What is the formula in the second record?
A: ZrVGe



Q: Which formula does entry 2 have?
A: ZrVGe



Q: Number 1 is which compound?
A: SmTmPd